No. 1
Density functional theory data (GGA-PBE) for a relaxed SrAcPr4 crystal.

Lattice parameters (Å, degrees): 7.0529 7.0529 7.0529 60.00 60.00 60.00
Fractional coordinates of all 6 atoms:
Pr  0.6272  0.6272  0.1184
Pr  0.6272  0.1184  0.6272
Pr  0.6272  0.6272  0.6272
Pr  0.1184  0.6272  0.6272
Sr  0.2500  0.2500  0.2500
Ac  0.0000  0.0000  0.0000

Summary:
The energy is -23.83 eV for the cell shown. The formation enthalpy at 0 K is 0.18 eV per atom.

No. 2
Density functional theory data (GGA-PBE) for a relaxed MgHgRu2 crystal.

Lattice parameters (Å, degrees): 4.9593 4.9593 2.9157 90.00 90.00 111.81
Fractional coordinates of all 4 atoms:
Hg  0.5000  0.0000  0.5000
Mg  0.0000  0.5000  0.5000
Ru  0.0000  0.0000  0.0000
Ru  0.5000  0.5000  0.0000

Summary:
The energy is -18.79 eV for the cell shown. The formation enthalpy at 0 K is 0.41 eV per atom. The calculation puts the energy above the most stable polymorph in this dataset at 339 meV/atom.

Which of these has the highest energy?
MgHgRu2